Entry one
TaCrF2 PBE+U optimized geometry; calculated density = 8.30 g/cm³
1.0
0.000 3.004 3.004
3.004 0.000 3.004
3.004 3.004 0.000
Ta Cr F
1 1 2
direct
0.000 0.000 0.000
0.500 0.500 0.500
0.250 0.250 0.250
0.750 0.750 0.750

Entry two
TaCrF2 PBE+U optimized geometry; calculated density = 7.57 g/cm³
1.0
-2.527 2.527 4.652
2.527 -2.527 4.652
2.527 2.527 -4.652
Ta Cr F
2 2 4
direct
0.000 0.000 0.000
0.750 0.250 0.500
0.250 0.750 0.500
0.500 0.500 0.000
0.157 0.625 0.032
0.375 0.407 0.532
0.593 0.125 0.968
0.875 0.843 0.468

Entry three
TaCrF2 PBE+U optimized geometry; calculated density = 6.79 g/cm³
1.0
1.418 0.819 9.519
-1.418 0.819 9.519
0.000 -1.637 9.519
Ta Cr F
1 1 2
direct
0.000 0.000 0.000
0.500 0.500 0.500
0.388 0.388 0.388
0.612 0.612 0.612

Entry four
TaCrF2 PBE+U optimized geometry; calculated density = 8.59 g/cm³
1.0
1.421 0.821 7.481
-1.421 0.821 7.481
0.000 -1.641 7.481
Ta Cr F
1 1 2
direct
0.000 0.000 0.000
0.500 0.500 0.500
0.102 0.102 0.102
0.898 0.898 0.898

Most stable pick: entry four. Distance to second place: 17.8 kJ/mol of atoms.

Entry one
TaCrF3 PBE+U optimized geometry; calculated density = 6.47 g/cm³
1.0
4.207 0.000 0.000
0.000 4.207 0.000
0.000 0.000 4.207
Ta Cr F
1 1 3
direct
0.000 0.000 0.000
0.500 0.500 0.500
0.000 0.500 0.500
0.500 0.000 0.500
0.500 0.500 0.000

Entry two
TaCrF3 PBE+U optimized geometry; calculated density = 6.08 g/cm³
1.0
4.294 0.000 0.000
0.000 4.294 0.000
0.000 0.000 4.294
Ta Cr F
1 1 3
direct
0.000 0.000 0.000
0.500 0.500 0.500
0.000 0.000 0.500
0.000 0.500 0.000
0.500 0.000 0.000

Most stable pick: entry two. Distance to second place: 57.0 kJ/mol of atoms.

Entry one
TaCr2F PBE+U optimized geometry; calculated density = 7.73 g/cm³
1.0
-3.439 3.439 2.760
3.439 -3.439 2.760
3.439 3.439 -2.760
Ta Cr F
2 4 2
direct
0.000 0.000 0.000
0.750 0.250 0.500
0.185 0.625 0.060
0.375 0.435 0.560
0.565 0.125 0.940
0.875 0.815 0.440
0.250 0.750 0.500
0.500 0.500 0.000

Entry two
TaCr2F PBE+U optimized geometry; calculated density = 7.58 g/cm³
1.0
0.000 3.216 3.216
3.216 0.000 3.216
3.216 3.216 0.000
Ta Cr F
1 2 1
direct
0.000 0.000 0.000
0.250 0.250 0.250
0.750 0.750 0.750
0.500 0.500 0.500

Most stable pick: entry one. Distance to second place: 37.6 kJ/mol of atoms.